P) Density functional theory data (meta-GGA SCAN) for TcNiPt at its PBEsol-relaxed geometry.

Cell lengths 2.663, 3.733, 7.878 Å; angles 90.00, 90.00, 90.00 degrees
Space group Imm2 (No. 44)
Unique sites:
Tc 0.000 0.000 0.000 [2 per cell]
Ni 0.000 0.000 0.343 [2 per cell]
Pt 0.000 0.000 0.672 [2 per cell]

## Properties
The calculation puts the calculated volume at 78.3 Å³/cell. As for the total moment: 0.00 μB per formula unit.



Q) Density functional theory data (meta-GGA SCAN) for TcNiPt at its PBEsol-relaxed geometry.

Cell lengths 2.671, 2.671, 10.983 Å; angles 90.00, 90.00, 90.00 degrees
Space group I4mm (No. 107)
Unique sites:
Tc 0.000 0.000 0.000 [2 per cell]
Ni 0.000 0.000 0.652 [2 per cell]
Pt 0.000 0.000 0.323 [2 per cell]

## Properties
The calculation puts the calculated volume at 78.4 Å³/cell. As for the total moment: 0.00 μB per formula unit.



P) takes first place; second place is 0.023 eV/atom up.